Record 1
Material: Cd3Rh4Pb
Method: DFT, PBE
State: optimized geometry

## Properties
ΔH_f (0 K)	-0.12	eV/atom
space group	P4/mmm

The structure in POSCAR format:
```
Cd3Rh4Pb
1.0
4.605 0.000 0.000
0.000 4.605 0.000
0.000 0.000 6.487
Cd Rh Pb
3 4 1
Direct
0.000 0.000 0.000
0.000 0.000 0.500
0.500 0.500 0.000
0.000 0.500 0.253
0.000 0.500 0.747
0.500 0.000 0.253
0.500 0.000 0.747
0.500 0.500 0.500
```

Record 2
Material: Eu2BiSe
Method: DFT, PBE
State: optimized geometry

## Properties
raw formation energy	-1.26	eV/atom
energy above the most stable polymorph in this dataset	0.1054	eV/atom
space group	P4/mmm

The structure in POSCAR format:
```
Eu2BiSe
1.0
3.763 0.000 0.000
0.000 3.763 0.000
0.000 0.000 8.264
Eu Bi Se
2 1 1
Direct
0.000 0.000 0.220
0.000 0.000 0.780
0.500 0.500 0.500
0.500 0.500 0.000
```

Record 3
Material: Ho7ZrIn4
Method: DFT, PBE
State: optimized geometry

## Properties
ΔH_f (0 K)	-0.06	eV/atom
space group	C2/m

The structure in POSCAR format:
```
Ho7ZrIn4
1.0
7.324 -2.831 0.000
7.324 2.831 0.000
-4.972 0.000 8.206
Ho Zr In
7 1 4
Direct
0.000 0.000 0.000
0.250 0.250 0.710
0.301 0.301 0.121
0.429 0.429 0.595
0.571 0.571 0.405
0.699 0.699 0.879
0.750 0.750 0.290
0.500 0.500 0.000
0.046 0.046 0.704
0.181 0.181 0.343
0.819 0.819 0.657
0.954 0.954 0.296
```

Across the entries above, total magnetization takes the values 0.00; 14.11; 0.00 μB/f.u., respectively.
Across the entries above, raw total energy takes the values -4.598; -8.235; -4.358 eV/atom, respectively.